This record from the Alexandria database describes crystalline Li2AlIn at its relaxed geometry. The functional is PBE.

a b c (Å): 5.0764 5.0764 5.1786
angles (deg): 82.38 82.38 34.55
Fractional coordinates of all 4 atoms:
Li: 0.9935 0.9935 0.9991
Li: 0.7595 0.7595 0.7447
Al: 0.5017 0.5017 0.5097
In: 0.2453 0.2453 0.2465

## Properties
- space-group type = Cm
- M_tot (μB per cell) = 0.00
- VASP energy (eV/f.u.) = -10.89
- ΔE_f (meV per atom) = -145